Record 1
Density functional theory data (GGA-PBE) for crystalline LaSmInN3 at its relaxed geometry.

Geometry as POSCAR:
```
LaSmInN3
1.0
6.782 0.000 0.000
0.000 3.470 0.000
-0.605 0.000 9.621
La Sm In N
2 2 2 6
direct
0.198 0.250 0.249 La
0.802 0.750 0.751 La
0.328 0.750 0.893 Sm
0.672 0.250 0.107 Sm
0.162 0.250 0.591 In
0.838 0.750 0.409 In
0.101 0.250 0.809 N
0.196 0.750 0.457 N
0.400 0.750 0.132 N
0.600 0.250 0.868 N
0.804 0.250 0.543 N
0.899 0.750 0.191 N
```

Computed properties:
Density ... 6.54 g/cm³
Total magnetic moment ... 0.0000 μB per atom
E_form (uncorrected) ... -0.726 eV/atom

---

Record 2
Density functional theory data (GGA-PBE) for crystalline Pu2BeNbN5 at its relaxed geometry.

Geometry as POSCAR:
```
Pu2BeNbN5
1.0
1.592 -6.500 0.000
1.592 6.500 0.000
0.000 0.000 9.794
Pu Be Nb N
4 2 2 10
direct
0.118 0.882 0.500 Pu
0.129 0.871 0.120 Pu
0.871 0.129 0.620 Pu
0.882 0.118 0.000 Pu
0.499 0.501 0.790 Be
0.501 0.499 0.290 Be
0.195 0.805 0.816 Nb
0.805 0.195 0.316 Nb
0.036 0.964 0.844 N
0.298 0.702 0.464 N
0.306 0.694 0.168 N
0.359 0.641 0.820 N
0.494 0.506 0.599 N
0.506 0.494 0.099 N
0.641 0.359 0.320 N
0.694 0.306 0.668 N
0.702 0.298 0.964 N
0.964 0.036 0.344 N
```

Computed properties:
Density ... 10.81 g/cm³
Total magnetic moment ... 0.8550 μB per atom
E_form (uncorrected) ... -0.970 eV/atom
Fermi-level density of states ... 22.7 states/eV/cell

---

Record 3
Density functional theory data (GGA-PBE) for crystalline BiPdCl2 at its relaxed geometry.

Geometry as POSCAR:
```
BiPdCl2
1.0
0.000 3.491 3.491
3.491 0.000 3.491
3.491 3.491 0.000
Bi Pd Cl
1 1 2
direct
0.000 0.000 0.000 Bi
0.500 0.500 0.500 Pd
0.250 0.250 0.250 Cl
0.750 0.750 0.750 Cl
```

Computed properties:
Energy above the most stable polymorph in this dataset ... 0.637 eV per formula unit
Density ... 7.54 g/cm³
Total magnetic moment ... 0.0000 μB per atom
E_form (uncorrected) ... -0.034 eV/atom
Fermi-level density of states ... 1.6 states/eV/cell

---

Record 4
Density functional theory data (GGA-PBE) for crystalline Ba6Pd2RhBr at its relaxed geometry.

Geometry as POSCAR:
```
Ba6Pd2RhBr
1.0
3.996 2.307 7.665
-3.996 2.307 7.665
0.000 -4.614 7.665
Ba Pd Rh Br
6 2 1 1
direct
0.003 0.326 0.671 Ba
0.140 0.860 0.527 Ba
0.326 0.671 0.003 Ba
0.527 0.140 0.860 Ba
0.671 0.003 0.326 Ba
0.860 0.527 0.140 Ba
0.252 0.252 0.252 Pd
0.748 0.748 0.748 Pd
0.926 0.926 0.926 Rh
0.432 0.432 0.432 Br
```

Computed properties:
Density ... 4.78 g/cm³
Total magnetic moment ... 0.0002 μB per atom
E_form (uncorrected) ... -0.588 eV/atom
Fermi-level density of states ... 6.7 states/eV/cell

---

Record 5
Density functional theory data (GGA-PBE) for crystalline Sm2TlAg3 at its relaxed geometry.

Geometry as POSCAR:
```
Sm2TlAg3
1.0
0.000 4.919 8.597
3.396 0.000 8.597
3.396 4.919 0.000
Sm Tl Ag
4 2 6
direct
0.245 0.755 0.755 Sm
0.250 0.250 0.250 Sm
0.750 0.750 0.750 Sm
0.755 0.245 0.245 Sm
0.334 0.334 0.666 Tl
0.666 0.666 0.334 Tl
0.165 0.165 0.835 Ag
0.165 0.671 0.329 Ag
0.329 0.835 0.165 Ag
0.671 0.165 0.835 Ag
0.835 0.329 0.671 Ag
0.835 0.835 0.165 Ag
```

Computed properties:
Energy above the most stable polymorph in this dataset ... 0.000 eV per formula unit
Density ... 9.58 g/cm³
Total magnetic moment ... 0.0001 μB per atom
Calculated formation energy ... -0.263 eV per atom
Fermi-level density of states ... 10.0 states/eV/cell

---

Record 6
Density functional theory data (GGA-PBE) for crystalline CeDy2CdN at its relaxed geometry.

Geometry as POSCAR:
```
CeDy2CdN
1.0
4.862 0.000 0.000
0.000 4.862 0.000
0.000 0.000 4.858
Ce Dy Cd N
1 2 1 1
direct
0.000 0.000 0.000 Ce
0.000 0.500 0.500 Dy
0.500 0.000 0.500 Dy
0.500 0.500 0.000 Cd
0.000 0.000 0.500 N
```

Computed properties:
Density ... 8.55 g/cm³
Total magnetic moment ... 0.1046 μB per atom
E_form (uncorrected) ... -0.758 eV/atom
Fermi-level density of states ... 6.9 states/eV/cell